DFT (PBE) results for PaMnCr after structural relaxation.

abc: 6.981 6.981 6.981
angles: 24.03 24.03 24.03
Fractional positions:
Pa (0.000, 0.000, 0.000)
Mn (0.875, 0.875, 0.875)
Cr (0.124, 0.124, 0.124)

## Properties
final energy: -8.797 eV per atom
E_form: 632.9 meV per atom


DFT (PBE) results for NaCaPr after structural relaxation.

abc: 8.882 8.882 8.882
angles: 156.27 156.27 33.81
Fractional positions:
Na (0.000, 0.000, 0.000)
Ca (0.330, 0.330, 0.000)
Pr (0.666, 0.666, 0.000)

## Properties
final energy: -2.561 eV per atom
E_form: 138.7 meV per atom


We obtain energy above the lowest structure with this stoichiometry values of 640, 25 meV per atom for the records listed above, in that order.